HoTm4Au5, optimized geometry, DFT GGA-PBE; total moment = 0.00 μB per formula unit; energy = -4.774 eV per atom; space-group type = P4/mmm, No. 123
1.0
-1.6603 3.0970 -0.3511
-2.3356 -1.4997 -2.1834
-10.5476 -4.0594 14.0713
Tm Au Ho
4 5 1
Direct
0.0000 0.0000 0.2011 Tm
0.0000 0.0000 0.5996 Tm
0.0000 0.0000 0.7989 Tm
0.0000 0.0000 0.4004 Tm
0.5000 0.5000 0.6992 Au
0.5000 0.5000 0.5000 Au
0.5000 0.5000 0.8976 Au
0.5000 0.5000 0.3008 Au
0.5000 0.5000 0.1024 Au
0.0000 0.0000 0.0000 Ho